Record 1
VASP calculation (PBE-GGA) on an optimized crystal structure of Y2Ga3Cu4Ni.

Properties
Its total energy is -4.78 eV/atom. As for the formation energy: -0.367 eV/atom. Its space group is P-4m2.

Unit cell a=3.9413 b=3.9413 c=10.7867 alpha=90.00 beta=90.00 gamma=90.00
Sites, in units of the cell vectors:
Y  0.0000  0.5000  0.2411
Y  0.5000  0.0000  0.7589
Ga  0.0000  0.0000  0.0000
Ga  0.0000  0.5000  0.6372
Ga  0.5000  0.0000  0.3628
Cu  0.0000  0.0000  0.5000
Cu  0.0000  0.5000  0.8616
Cu  0.5000  0.0000  0.1384
Cu  0.5000  0.5000  0.5000
Ni  0.5000  0.5000  0.0000

=====

Record 2
VASP calculation (PBE-GGA) on an optimized crystal structure of YCr5Fe7.

Properties
Its total energy is -8.74 eV/atom. As for the formation energy: 0.018 eV/atom. Its space group is Imm2.

Unit cell a=6.3194 b=6.3194 c=6.3194 alpha=136.13 beta=98.25 gamma=97.79
Sites, in units of the cell vectors:
Y  0.0000  0.0000  0.0000
Cr  0.3593  0.9910  0.3683
Cr  0.3637  0.3637  0.0000
Cr  0.6227  0.9910  0.6317
Cr  0.6279  0.6279  0.0000
Cr  0.7721  0.2721  0.5000
Fe  0.2170  0.7170  0.5000
Fe  0.2200  0.4944  0.7256
Fe  0.4959  0.4941  0.5029
Fe  0.4959  0.9929  0.0017
Fe  0.7688  0.4944  0.2744
Fe  0.9912  0.4941  0.9983
Fe  0.9912  0.9929  0.4971

=====

Record 3
VASP calculation (PBE-GGA) on an optimized crystal structure of Rh2WBr.

Properties
As for the energy above the most stable polymorph in this dataset: 2.17 eV/f.u. Its total energy is -6.64 eV/atom. Its space group is Cmm2.

Unit cell a=2.8635 b=2.8635 c=9.2055 alpha=90.00 beta=90.00 gamma=118.90
Sites, in units of the cell vectors:
Rh  0.0000  0.0000  0.0000
Rh  0.5000  0.5000  0.2510
W  0.5000  0.5000  0.7676
Br  0.0000  0.0000  0.5048

=====

Record 4
VASP calculation (PBE-GGA) on an optimized crystal structure of Pa2Co3CuSi4.

Properties
Its total energy is -7.31 eV/atom. Its space group is P-4m2.

Unit cell a=3.9609 b=3.9609 c=9.5051 alpha=90.00 beta=90.00 gamma=90.00
Sites, in units of the cell vectors:
Pa  0.0000  0.5000  0.2463
Pa  0.5000  0.0000  0.7537
Co  0.0000  0.5000  0.8730
Co  0.5000  0.0000  0.1270
Co  0.5000  0.5000  0.5000
Cu  0.0000  0.0000  0.5000
Si  0.0000  0.0000  0.0000
Si  0.0000  0.5000  0.6341
Si  0.5000  0.0000  0.3659
Si  0.5000  0.5000  0.0000

=====

Record 5
VASP calculation (PBE-GGA) on an optimized crystal structure of PmPr2Nd6Dy3.

Properties
Its total energy is -4.71 eV/atom. As for the formation energy: 0.015 eV/atom. Its space group is C2/m.

Unit cell a=6.3337 b=6.3337 c=12.0634 alpha=95.02 beta=95.02 gamma=120.01
Sites, in units of the cell vectors:
Pm  0.0000  0.0000  0.0000
Pr  0.3333  0.6667  0.0000
Pr  0.6667  0.3333  0.0000
Nd  0.0849  0.4178  0.2543
Nd  0.2480  0.2480  0.7456
Nd  0.4178  0.0849  0.2543
Nd  0.5822  0.9151  0.7457
Nd  0.7520  0.7520  0.2544
Nd  0.9151  0.5822  0.7457
Dy  0.1666  0.8334  0.5000
Dy  0.5000  0.5000  0.5000
Dy  0.8334  0.1666  0.5000

=====

Record 6
VASP calculation (PBE-GGA) on an optimized crystal structure of Sr3BiPt.

Properties
As for the energy above the most stable polymorph in this dataset: 0.23 eV/f.u. Its total energy is -3.66 eV/atom. As for the formation energy: -0.665 eV/atom. Its space group is Pm-3m.

Unit cell a=5.7939 b=5.7939 c=5.7939 alpha=90.00 beta=90.00 gamma=90.00
Sites, in units of the cell vectors:
Sr  0.0000  0.0000  0.5000
Sr  0.0000  0.5000  0.0000
Sr  0.5000  0.0000  0.0000
Bi  0.5000  0.5000  0.5000
Pt  0.0000  0.0000  0.0000

=====

Please write out number 1 again, unchanged.
VASP calculation (PBE-GGA) on an optimized crystal structure of Y2Ga3Cu4Ni.

Properties
Its total energy is -4.78 eV/atom. As for the formation energy: -0.367 eV/atom. Its space group is P-4m2.

Unit cell a=3.9413 b=3.9413 c=10.7867 alpha=90.00 beta=90.00 gamma=90.00
Sites, in units of the cell vectors:
Y  0.0000  0.5000  0.2411
Y  0.5000  0.0000  0.7589
Ga  0.0000  0.0000  0.0000
Ga  0.0000  0.5000  0.6372
Ga  0.5000  0.0000  0.3628
Cu  0.0000  0.0000  0.5000
Cu  0.0000  0.5000  0.8616
Cu  0.5000  0.0000  0.1384
Cu  0.5000  0.5000  0.5000
Ni  0.5000  0.5000  0.0000

=====

Repeat the sixth record exactly.
VASP calculation (PBE-GGA) on an optimized crystal structure of Sr3BiPt.

Properties
As for the energy above the most stable polymorph in this dataset: 0.23 eV/f.u. Its total energy is -3.66 eV/atom. As for the formation energy: -0.665 eV/atom. Its space group is Pm-3m.

Unit cell a=5.7939 b=5.7939 c=5.7939 alpha=90.00 beta=90.00 gamma=90.00
Sites, in units of the cell vectors:
Sr  0.0000  0.0000  0.5000
Sr  0.0000  0.5000  0.0000
Sr  0.5000  0.0000  0.0000
Bi  0.5000  0.5000  0.5000
Pt  0.0000  0.0000  0.0000